DFT (GGA-PBE) results for a relaxed structure of CoTc2Rh.

## Properties
electronic total energy: -35.1 eV per cell
E above lowest polymorph: 0.44 eV per formula unit
total magnetic moment: 0.00 Bohr magnetons per cell
E_form: 0.03 eV per atom
symmetry: No. 65
mass density: 11.1 Mg/m³

The structure in POSCAR format:
```
CoTc2Rh
1.0
-1.710 -4.969 2.641
4.365 1.577 0.570
-0.382 0.115 2.615
Co Rh Tc
1 1 2
Direct
0.000 0.500 0.500
0.500 0.500 0.000
0.500 0.000 0.500
0.000 0.000 0.000
```

***

DFT (GGA-PBE) results for a relaxed structure of Li2Tm3Pd5.

## Properties
electronic total energy: -101.8 eV per cell
total magnetic moment: 0.00 Bohr magnetons per cell
E_form: -0.77 eV per atom
symmetry: No. 127
mass density: 9.9 Mg/m³

The structure in POSCAR format:
```
Li2Tm3Pd5
1.0
3.636 0.000 0.000
0.000 9.836 0.000
0.000 0.000 9.836
Tm Li Pd
6 4 10
Direct
0.000 0.325 0.825
0.000 0.000 0.000
0.000 0.500 0.500
0.000 0.825 0.675
0.000 0.175 0.325
0.000 0.675 0.175
0.000 0.121 0.621
0.000 0.379 0.121
0.000 0.621 0.879
0.000 0.879 0.379
0.500 0.071 0.787
0.500 0.000 0.500
0.500 0.287 0.571
0.500 0.929 0.213
0.500 0.787 0.929
0.500 0.571 0.713
0.500 0.213 0.071
0.500 0.713 0.429
0.500 0.500 0.000
0.500 0.429 0.287
```

***

DFT (GGA-PBE) results for a relaxed structure of TaCrIr2.

## Properties
electronic total energy: -40.7 eV per cell
E above lowest polymorph: 0.26 eV per formula unit
total magnetic moment: 0.41 Bohr magnetons per cell
E_form: -0.37 eV per atom
symmetry: No. 47
mass density: 17.4 Mg/m³

The structure in POSCAR format:
```
TaCrIr2
1.0
3.783 0.000 0.000
0.000 2.787 0.012
0.000 2.760 5.600
Cr Ta Ir
1 1 2
Direct
0.500 0.750 0.750
0.500 0.250 0.250
0.000 0.015 0.985
0.000 0.485 0.515
```

***

DFT (GGA-PBE) results for a relaxed structure of YScGa2Pd2.

## Properties
electronic total energy: -34.5 eV per cell
total magnetic moment: 0.00 Bohr magnetons per cell
E_form: -0.87 eV per atom
symmetry: No. 164
mass density: 7.1 Mg/m³

The structure in POSCAR format:
```
YScGa2Pd2
1.0
-0.352 3.837 -2.246
-2.351 -0.619 3.738
4.943 2.517 3.526
Sc Ga Y Pd
1 2 1 2
Direct
0.000 0.000 0.500
0.333 0.667 0.719
0.667 0.333 0.281
0.000 0.000 0.000
0.667 0.333 0.720
0.333 0.667 0.280
```

***

DFT (GGA-PBE) results for a relaxed structure of AsIr2Rh.

## Properties
electronic total energy: -29.4 eV per cell
total magnetic moment: 0.00 Bohr magnetons per cell
E_form: 0.08 eV per atom
symmetry: No. 71
mass density: 15.7 Mg/m³

The structure in POSCAR format:
```
AsIr2Rh
1.0
5.380 0.142 0.261
4.555 2.867 0.261
1.628 0.493 4.112
Ir Rh As
2 1 1
Direct
0.970 0.970 0.030
0.530 0.530 0.470
0.750 0.750 0.750
0.250 0.250 0.250
```

***

DFT (GGA-PBE) results for a relaxed structure of Mg4Si3.

## Properties
electronic total energy: -45.0 eV per cell
E above lowest polymorph: 0.36 eV per formula unit
total magnetic moment: 0.00 Bohr magnetons per cell
symmetry: No. 1
mass density: 2.1 Mg/m³
energy relative to the elements, uncorrected: 1.8 kJ per mole of atoms

The structure in POSCAR format:
```
Mg4Si3
1.0
4.817 -0.005 0.006
2.027 7.486 0.004
2.064 2.399 8.100
Mg Si
8 6
Direct
0.757 0.890 0.927
0.269 0.888 0.513
0.412 0.620 0.877
0.120 0.104 0.064
0.467 0.655 0.263
0.072 0.407 0.324
0.693 0.169 0.580
0.080 0.412 0.722
0.241 0.024 0.767
0.601 0.003 0.207
0.609 0.530 0.581
0.646 0.282 0.255
0.891 0.503 0.021
0.891 0.763 0.399
```